No. 1
Ta3Be2B3 | GGA-PBE | relaxed

Cell: 3.2646 4.6200 11.8965 Å, 90.00 90.00 110.69°
With the nearest neighbours (Å) after each atom.
Atoms (fractional coordinates):
Ta1 0.8584 0.7169 0.4027  4 Be 2.47-2.52, 7 B 2.50-2.56
Ta2 0.1416 0.2831 0.9027  4 Be 2.47-2.52, 7 B 2.50-2.56
Ta3 0.8584 0.7169 0.0973  4 Be 2.47-2.52, 7 B 2.50-2.56
Ta4 0.1416 0.2831 0.5973  4 Be 2.47-2.52, 7 B 2.50-2.56
Ta5 0.5627 0.1255 0.2500  5 B 2.35-2.49, 4 Be 2.40
Ta6 0.4373 0.8745 0.7500  5 B 2.35-2.49, 4 Be 2.40
Be1 0.8549 0.7098 0.8857  3 B 1.91-1.97
Be2 0.1451 0.2902 0.3857  3 B 1.91-1.97
Be3 0.8549 0.7098 0.6143  3 B 1.91-1.97
Be4 0.1451 0.2902 0.1143  3 B 1.91-1.97
B1 0.5687 0.1374 0.4472  1 B 1.73, 2 Be 1.91
B2 0.4313 0.8626 0.9472  1 B 1.73, 2 Be 1.91
B3 0.5687 0.1374 0.0528  1 B 1.73, 2 Be 1.91
B4 0.4313 0.8626 0.5528  1 B 1.73, 2 Be 1.91
B5 0.2752 0.5504 0.2500  2 Be 1.97
B6 0.7248 0.4496 0.7500  2 Be 1.97

Computed properties:
Total moment (μB per formula unit): 0.00
Energy of formation (eV per atom): -0.59
Space-group type: No. 63
Calculated total energy (Ha/atom): -0.3111

***

No. 2
Pr8Ru2Pb | GGA-PBE | relaxed

Cell: 5.7057 8.2701 8.2701 Å, 114.67 97.60 97.60°
With the nearest neighbours (Å) after each atom.
Atoms (fractional coordinates):
Pr1 0.5572 0.3313 0.0774  2 Ru 2.94-2.96
Pr2 0.5572 0.0774 0.3313  2 Ru 2.94-2.96
Pr3 0.2005 0.3995 0.3995  4 Pr 3.27-3.47, 2 Ru 3.32, 1 Pb 3.44
Pr4 0.9999 0.2517 0.7546  2 Ru 2.93
Pr5 0.9999 0.7546 0.2517  2 Ru 2.93
Pr6 0.7997 0.6067 0.6067  4 Pr 3.27-3.47, 2 Ru 3.32, 1 Pb 3.44
Pr7 0.4428 0.9287 0.6749  2 Ru 2.94-2.96
Pr8 0.4428 0.6749 0.9287  2 Ru 2.94-2.96
Ru1 0.4998 0.7061 0.2999  6 Pr 2.93-2.96
Ru2 0.4998 0.2999 0.7061  6 Pr 2.93-2.96
Pb1 0.0000 0.0031 0.0031  8 Pr 3.44-3.70

Computed properties:
Total moment (μB per formula unit): 0.00
Energy of formation (eV per atom): -0.15
Space-group type: No. 12
Calculated total energy (Ha/atom): -0.2077

***

No. 3
RbAsN3 | GGA-PBE | relaxed

Cell: 4.0250 4.0250 4.0250 Å, 90.00 90.00 90.00°
With the nearest neighbours (Å) after each atom.
Atoms (fractional coordinates):
As1 0.0000 0.0000 0.0000  6 N 2.01
Rb1 0.5000 0.5000 0.5000  12 N 2.85
N1 0.0000 0.5000 0.0000  2 As 2.01
N2 0.0000 0.0000 0.5000  2 As 2.01
N3 0.5000 0.0000 0.0000  2 As 2.01

Computed properties:
Formation energy (no corrections) (eV per atom): 1.46
Total moment (μB per formula unit): 3.18
Space-group type: No. 221
Calculated total energy (Ha/atom): -0.1712

***

No. 4
Tl2CuAgF8 | GGA-PBE | relaxed

Cell: 4.2513 5.6059 7.6363 Å, 92.77 88.18 93.34°
With the nearest neighbours (Å) after each atom.
Atoms (fractional coordinates):
Tl1 0.4295 0.5087 0.7524  7 F 2.28-2.44
Tl2 0.5705 0.4913 0.2476  7 F 2.28-2.44
Cu1 0.0000 0.0000 0.0000  4 F 1.91-2.02
Ag1 0.0000 0.0000 0.5000  4 F 2.28-2.49
F1 0.0871 0.6469 0.2547  2 Tl 2.28-2.32
F2 0.6513 0.7382 0.0030  1 Cu 2.02
F3 0.8501 0.1480 0.2141  1 Cu 1.91
F4 0.9129 0.3531 0.7453  2 Tl 2.28-2.32
F5 0.3487 0.2618 0.9970  1 Cu 2.02
F6 0.1499 0.8520 0.7859  1 Cu 1.91
F7 0.5775 0.7301 0.5123  1 Ag 2.28, 2 Tl 2.31-2.37
F8 0.4225 0.2699 0.4877  1 Ag 2.28, 2 Tl 2.31-2.37

Computed properties:
Formation energy (no corrections) (eV per atom): -1.59
Total moment (μB per formula unit): 0.70
Space-group type: No. 2
Calculated total energy (Ha/atom): -0.1399

***

No. 5
KPRh2 | GGA-PBE | relaxed

Cell: 5.4914 5.4914 5.8419 Å, 89.61 89.61 35.03°
With the nearest neighbours (Å) after each atom.
Atoms (fractional coordinates):
K1 0.5341 0.5341 0.5000  2 K 3.31, 6 Rh 3.31-3.45, 2 P 3.66-3.68
P1 0.3217 0.3217 0.0002  4 Rh 2.19
Rh1 0.9596 0.9596 0.0006  2 P 2.19
Rh2 0.6846 0.6846 0.9992  2 P 2.19

Computed properties:
Total moment (μB per formula unit): 0.00
Energy of formation (eV per atom): -0.19
Space-group type: No. 8
Calculated total energy (Ha/atom): -0.2020

***

No. 6
Ag2Hg2Pd2Au | GGA-PBE | relaxed

Cell: 4.2442 5.1411 6.4645 Å, 95.95 90.00 114.38°
With the nearest neighbours (Å) after each atom.
Atoms (fractional coordinates):
Ag1 0.5742 0.1484 0.7051  1 Ag 2.85, 5 Pd 2.90-2.96, 4 Hg 2.91-3.13, 2 Au 2.99
Ag2 0.4258 0.8516 0.2949  1 Ag 2.85, 5 Pd 2.90-2.96, 4 Hg 2.91-3.13, 2 Au 2.99
Hg1 0.7144 0.4287 0.1688  3 Pd 2.83-2.84, 4 Ag 2.91-3.13, 3 Au 3.00-3.04
Hg2 0.2856 0.5713 0.8312  3 Pd 2.83-2.84, 4 Ag 2.91-3.13, 3 Au 3.00-3.04
Pd1 0.1374 0.2748 0.4233  3 Hg 2.83-2.84, 3 Pd 2.86-3.08, 1 Au 2.89, 5 Ag 2.90-2.96
Pd2 0.8626 0.7252 0.5767  3 Hg 2.83-2.84, 3 Pd 2.86-3.08, 1 Au 2.89, 5 Ag 2.90-2.96
Au1 0.0000 0.0000 0.0000  2 Pd 2.89, 4 Ag 2.99, 6 Hg 3.00-3.04

Computed properties:
Total moment (μB per formula unit): 0.00
Energy of formation (eV per atom): -0.04
Space-group type: No. 12
Calculated total energy (Ha/atom): -0.1064

***

No. 7
LaNdHo | GGA-PBE | relaxed

Cell: 3.5236 5.7886 5.7886 Å, 120.00 90.00 90.00°
With the nearest neighbours (Å) after each atom.
Atoms (fractional coordinates):
Nd1 0.6665 0.6667 0.3333  2 Nd 3.52, 6 Ho 3.78, 6 La 3.78
Ho1 0.1678 0.3333 0.6667  3 La 3.34, 2 Ho 3.52
La1 0.1657 0.0000 0.0000  3 Ho 3.34, 2 La 3.52

Computed properties:
Total moment (μB per formula unit): 0.00
Energy of formation (eV per atom): 0.06
Space-group type: No. 187
Calculated total energy (Ha/atom): -0.1725

***

No. 8
CdTeSe3 | GGA-PBE | relaxed

Cell: 5.3578 5.3578 5.3578 Å, 90.00 90.00 90.00°
With the nearest neighbours (Å) after each atom.
Atoms (fractional coordinates):
Te1 0.0000 0.0000 0.0000  6 Se 2.68
Se1 0.0000 0.5000 0.0000  2 Te 2.68
Se2 0.0000 0.0000 0.5000  2 Te 2.68
Se3 0.5000 0.0000 0.0000  2 Te 2.68
Cd1 0.5000 0.5000 0.5000  12 Se 3.79

Computed properties:
Formation energy (no corrections) (eV per atom): 0.40
Total moment (μB per formula unit): 0.00
Space-group type: No. 221
Calculated total energy (Ha/atom): -0.0920

***

No. 9
Ag2Te6I | GGA-PBE | relaxed

Cell: 3.2047 10.9144 10.9144 Å, 55.37 91.10 91.10°
With the nearest neighbours (Å) after each atom.
Atoms (fractional coordinates):
Ag1 0.0029 0.3248 0.3248  4 Te 2.87, 2 Ag 3.20
Ag2 0.9971 0.6752 0.6752  4 Te 2.87, 2 Ag 3.20
Te1 0.4964 0.9071 0.4383  2 Ag 2.87, 3 Te 3.00-3.20
Te2 0.5036 0.0929 0.5617  2 Ag 2.87, 3 Te 3.00-3.20
Te3 0.5036 0.5617 0.0929  2 Ag 2.87, 3 Te 3.00-3.20
Te4 0.5000 0.3600 0.6400  1 Te 2.84
Te5 0.5000 0.6400 0.3600  1 Te 2.84
Te6 0.4964 0.4383 0.9071  2 Ag 2.87, 3 Te 3.00-3.20
I1 0.0000 0.0000 0.0000  2 I 3.20

Computed properties:
Formation energy (no corrections) (eV per atom): 0.06
Total moment (μB per formula unit): 0.00
Space-group type: No. 12
Calculated total energy (Ha/atom): -0.1043

***

No. 10
Li2AcSb2 | GGA-PBE | relaxed

Cell: 4.7859 4.7859 10.9792 Å, 90.00 90.00 90.00°
With the nearest neighbours (Å) after each atom.
Atoms (fractional coordinates):
Li1 0.5000 0.5000 0.5000  4 Sb 2.85
Li2 0.0000 0.0000 0.5000  4 Sb 2.85
Li3 0.0000 0.5000 0.1198  5 Sb 2.63-2.73
Li4 0.5000 0.0000 0.8802  5 Sb 2.63-2.73
Ac1 0.5000 0.0000 0.2394  8 Sb 3.55-3.63, 9 Li 3.63-3.94
Ac2 0.0000 0.5000 0.7606  8 Sb 3.55-3.63, 9 Li 3.63-3.94
Sb1 0.0000 0.5000 0.3598  5 Li 2.63-2.85
Sb2 0.5000 0.0000 0.6402  5 Li 2.63-2.85
Sb3 0.5000 0.5000 0.0000  4 Li 2.73
Sb4 0.0000 0.0000 0.0000  4 Li 2.73

Computed properties:
Formation energy (no corrections) (eV per atom): -0.82
Total moment (μB per formula unit): 0.00
Space-group type: No. 129
Calculated total energy (Ha/atom): -0.1492

***

No. 11
TiBiPdCl2 | GGA-PBE | relaxed

Cell: 4.5695 5.5267 4.5695 Å, 90.00 90.00 90.00°
With the nearest neighbours (Å) after each atom.
Atoms (fractional coordinates):
Cl1 0.0000 0.0000 0.5000  2 Ti 2.28
Cl2 0.5000 0.0000 0.0000  2 Ti 2.28
Bi1 0.5000 0.5000 0.5000  4 Pd 3.23, 8 Cl 3.59
Pd1 0.0000 0.5000 0.0000  2 Ti 2.76
Ti1 0.0000 0.0000 0.0000  4 Cl 2.28

Computed properties:
Formation energy (no corrections) (eV per atom): -0.34
Total moment (μB per formula unit): 0.67
Space-group type: No. 123
Calculated total energy (Ha/atom): -0.1643

***

No. 12
PmDyTlBi | GGA-PBE | relaxed

Cell: 5.4971 5.4971 5.4971 Å, 60.00 60.00 60.00°
With the nearest neighbours (Å) after each atom.
Atoms (fractional coordinates):
Tl1 0.5000 0.5000 0.5000  4 Dy 3.37, 4 Pm 3.37
Pm1 0.2500 0.2500 0.2500  4 Tl 3.37, 4 Bi 3.37
Bi1 0.0000 0.0000 0.0000  4 Dy 3.37, 4 Pm 3.37
Dy1 0.7500 0.7500 0.7500  4 Bi 3.37, 4 Tl 3.37

Computed properties:
Total moment (μB per formula unit): 0.00
Energy of formation (eV per atom): -0.44
Space-group type: No. 216
Calculated total energy (Ha/atom): -0.1593

***

No. 13
Pu2ThSn2 | GGA-PBE | relaxed

Cell: 4.2309 4.2309 16.6380 Å, 90.00 90.00 120.00°
With the nearest neighbours (Å) after each atom.
Atoms (fractional coordinates):
Pu1 0.3333 0.6667 0.5039  3 Pu 2.45
Pu2 0.6667 0.3333 0.0039  3 Pu 2.45
Pu3 0.6667 0.3333 0.4961  3 Pu 2.45
Pu4 0.3333 0.6667 0.9961  3 Pu 2.45
Th1 0.6667 0.3333 0.7500  6 Sn 3.23
Th2 0.3333 0.6667 0.2500  6 Sn 3.23
Sn1 0.0000 0.0000 0.6231  6 Pu 3.15-3.23, 3 Th 3.23
Sn2 0.0000 0.0000 0.1231  6 Pu 3.15-3.23, 3 Th 3.23
Sn3 0.0000 0.0000 0.3769  6 Pu 3.15-3.23, 3 Th 3.23
Sn4 0.0000 0.0000 0.8769  6 Pu 3.15-3.23, 3 Th 3.23

Computed properties:
Total moment (μB per formula unit): 3.03
Energy of formation (eV per atom): -0.03
Space-group type: No. 194
Calculated total energy (Ha/atom): -0.3252

***

No. 14
AcSiHg | GGA-PBE | relaxed

Cell: 4.5847 4.5241 4.5241 Å, 120.00 90.00 90.00°
With the nearest neighbours (Å) after each atom.
Atoms (fractional coordinates):
Ac1 0.6668 0.6667 0.3333  6 Si 3.47-3.48, 6 Hg 3.47-3.48
Si1 0.1658 0.0000 0.0000  3 Hg 2.61
Hg1 0.1674 0.3333 0.6667  3 Si 2.61

Computed properties:
Formation energy (no corrections) (eV per atom): -0.46
Total moment (μB per formula unit): 0.00
Space-group type: No. 187
Calculated total energy (Ha/atom): -0.1374

***

No. 15
SrZnGaRh | GGA-PBE | relaxed

Cell: 4.3980 4.3980 5.9849 Å, 68.44 68.44 60.00°
With the nearest neighbours (Å) after each atom.
Atoms (fractional coordinates):
Sr1 0.8128 0.8128 0.5616  4 Rh 3.09-3.45, 4 Zn 3.09-3.45, 3 Ga 3.42
Zn1 0.0029 0.0029 0.9912  3 Rh 2.65, 3 Ga 2.66
Ga1 0.2873 0.2873 0.1382  3 Rh 2.54, 3 Zn 2.66
Rh1 0.6228 0.6228 0.1315  3 Ga 2.54, 3 Zn 2.65

Computed properties:
Total moment (μB per formula unit): 0.00
Energy of formation (eV per atom): -0.48
Space-group type: No. 160
Calculated total energy (Ha/atom): -0.1401

***

No. 16
LaNdAlAg | GGA-PBE | relaxed

Cell: 5.3742 5.3742 5.3742 Å, 60.00 60.00 60.00°
With the nearest neighbours (Å) after each atom.
Atoms (fractional coordinates):
Nd1 0.5000 0.5000 0.5000  4 Al 3.29, 4 Ag 3.29
Al1 0.7500 0.7500 0.7500  4 La 3.29, 4 Nd 3.29
Ag1 0.2500 0.2500 0.2500  4 Nd 3.29, 4 La 3.29
La1 0.0000 0.0000 0.0000  4 Ag 3.29, 4 Al 3.29

Computed properties:
Total moment (μB per formula unit): 0.00
Energy of formation (eV per atom): -0.28
Space-group type: No. 216
Calculated total energy (Ha/atom): -0.1601

***

No. 17
CeCo6B2 | GGA-PBE | relaxed

Cell: 6.9089 6.9089 6.9089 Å, 60.00 60.00 60.00°
With the nearest neighbours (Å) after each atom.
Atoms (fractional coordinates):
Ce1 0.5000 0.5000 0.5000  6 Co 2.81
Ce2 0.7500 0.7500 0.7500  6 Co 2.81
Co1 0.2121 0.2121 0.7879  2 B 1.93
Co2 0.7879 0.7879 0.2121  2 B 1.93
Co3 0.2121 0.7879 0.2121  2 B 1.93
Co4 0.2121 0.7879 0.7879  2 B 1.93
Co5 0.4621 0.4621 0.0379  2 B 1.93
Co6 0.4621 0.0379 0.0379  2 B 1.93
Co7 0.7879 0.2121 0.7879  2 B 1.93
Co8 0.0379 0.0379 0.4621  2 B 1.93
Co9 0.4621 0.0379 0.4621  2 B 1.93
Co10 0.0379 0.4621 0.4621  2 B 1.93
Co11 0.7879 0.2121 0.2121  2 B 1.93
Co12 0.0379 0.4621 0.0379  2 B 1.93
B1 0.1250 0.1250 0.1250  6 Co 1.93
B2 0.1250 0.6250 0.1250  6 Co 1.93
B3 0.1250 0.1250 0.6250  6 Co 1.93
B4 0.6250 0.1250 0.1250  6 Co 1.93

Computed properties:
Total moment (μB per formula unit): 4.82
Energy of formation (eV per atom): 0.08
Space-group type: No. 227
Calculated total energy (Ha/atom): -0.2500

***

No. 18
Cs2LiPuBr5 | GGA-PBE | relaxed

Cell: 4.5462 10.8299 14.7335 Å, 90.00 90.00 102.12°
With the nearest neighbours (Å) after each atom.
Atoms (fractional coordinates):
Cs1 0.8771 0.7542 0.8119  6 Br 3.56-3.77
Cs2 0.1095 0.2189 0.6841  5 Br 3.57-3.78
Cs3 0.1229 0.2458 0.3119  6 Br 3.56-3.77
Cs4 0.8905 0.7811 0.1841  5 Br 3.57-3.78
Li1 0.5660 0.1321 0.9425  4 Br 2.47-2.72
Li2 0.4340 0.8679 0.4425  4 Br 2.47-2.72
Pu1 0.7937 0.5874 0.5187  6 Br 2.96-3.05
Pu2 0.2063 0.4126 0.0187  6 Br 2.96-3.05
Br1 0.3453 0.6906 0.0006  1 Pu 2.96
Br2 0.6875 0.3750 0.8833  1 Li 2.72
Br3 0.5063 0.0127 0.7982  1 Li 2.47
Br4 0.2869 0.5738 0.6540  2 Pu 3.03
Br5 0.9366 0.8732 0.5305  2 Li 2.62
Br6 0.6547 0.3094 0.5006  1 Pu 2.96
Br7 0.3125 0.6250 0.3833  1 Li 2.72
Br8 0.4937 0.9873 0.2982  1 Li 2.47
Br9 0.7131 0.4262 0.1540  2 Pu 3.03
Br10 0.0634 0.1268 0.0305  2 Li 2.62

Computed properties:
Formation energy (no corrections) (eV per atom): -1.61
Total moment (μB per formula unit): 6.00
Space-group type: No. 36
Calculated total energy (Ha/atom): -0.1665

***

No. 19
Ba2ReRu | GGA-PBE | relaxed

Cell: 4.6740 3.4608 7.4160 Å, 63.20 90.00 90.00°
With the nearest neighbours (Å) after each atom.
Atoms (fractional coordinates):
Ba1 0.0000 0.9950 0.9963  4 Ba 3.26-3.46, 4 Ru 3.30-3.36, 4 Re 3.36
Ba2 0.0000 0.5050 0.5037  4 Ba 3.26-3.46, 4 Ru 3.30-3.36, 4 Re 3.36
Re1 0.5000 0.2500 0.2500  2 Ru 3.31, 8 Ba 3.36, 2 Re 3.46
Ru1 0.5000 0.7500 0.7500  8 Ba 3.30-3.36, 2 Re 3.31, 2 Ru 3.46

Computed properties:
Total moment (μB per formula unit): 3.28
Energy of formation (eV per atom): 1.43
Space-group type: No. 10
Calculated total energy (Ha/atom): -0.1824